A plane-wave DFT calculation with GGA-PBEsol was carried out for a geometry-optimized HoMg2Cu9 structure.

```
data_HoMg2Cu9
_symmetry_space_group_name_H-M 'P 1'
_symmetry_Int_Tables_number 1
_symmetry_space_group_name_Hall 'P 1'
_cell_length_a 4.9073
_cell_length_b 4.9073
_cell_length_c 15.9131
_cell_angle_alpha 90.00
_cell_angle_beta 90.00
_cell_angle_gamma 120.00
loop_
_atom_site_label
_atom_site_type_symbol
_atom_site_fract_x
_atom_site_fract_y
_atom_site_fract_z
_atom_site_occupancy
Ho1 Ho 0.6667 0.3333 0.2500 1
Ho2 Ho 0.3333 0.6667 0.7500 1
Mg1 Mg 0.6667 0.3333 0.0330 1
Mg2 Mg 0.3333 0.6667 0.5330 1
Mg3 Mg 0.6667 0.3333 0.4670 1
Mg4 Mg 0.3333 0.6667 0.9670 1
Cu1 Cu 0.3333 0.6667 0.2500 1
Cu2 Cu 0.6667 0.3333 0.7500 1
Cu3 Cu 0.1679 0.8321 0.1236 1
Cu4 Cu 0.6642 0.8321 0.1236 1
Cu5 Cu 0.0000 0.0000 0.7500 1
Cu6 Cu 0.0000 0.0000 0.2500 1
Cu7 Cu 0.0000 0.0000 0.5000 1
Cu8 Cu 0.0000 0.0000 0.0000 1
Cu9 Cu 0.6642 0.8321 0.3764 1
Cu10 Cu 0.8321 0.1679 0.8764 1
Cu11 Cu 0.8321 0.6642 0.8764 1
Cu12 Cu 0.1679 0.3358 0.3764 1
Cu13 Cu 0.1679 0.8321 0.3764 1
Cu14 Cu 0.3358 0.1679 0.6236 1
Cu15 Cu 0.8321 0.1679 0.6236 1
Cu16 Cu 0.3358 0.1679 0.8764 1
Cu17 Cu 0.8321 0.6642 0.6236 1
Cu18 Cu 0.1679 0.3358 0.1236 1
```

Results
* ΔE_f: -172.5 meV per atom
* ρ: 7.86 g/cm3
* calculated total energy: -4.12 eV per atom
* calculated volume: 13.828 Å³ per atom
* size of the total moment: 0.00 μB/cell
* space-group type: P6_3/mmc